The following is a DFT calculation (PBE) of a geometry-optimized Gd3Al11 structure.

Lattice parameters (Å, degrees): 4.337 9.902 12.858 90.00 90.00 90.00
Space group Immm (No. 71)
One atom of each set of equivalent atoms:
Gd  0.000  0.000  0.000 (multiplicity 2)
Gd  0.000  0.000  0.316 (multiplicity 4)
Al  0.000  0.210  0.500 (multiplicity 4)
Al  0.000  0.276  0.136 (multiplicity 8)
Al  0.000  0.369  0.335 (multiplicity 8)
Al  0.000  0.500  0.000 (multiplicity 2)

Values from the calculation:
raw total energy: -4.2938 eV per atom